(1)
Entry from the Alexandria database: CoCu2 after structural relaxation (GGA-PBE).

Calculated values
Its total energy is -4.92 eV per atom. The space-group type is Cmcm, No. 63. For the size of the total moment, the calculation gives 1.60 μB per formula unit.

abc: 2.473 13.453 4.199
angles: 90.00 90.00 90.00
Fractional positions:
Co 0.000 0.112 0.250
Co 0.000 0.888 0.750
Co 0.500 0.388 0.750
Co 0.500 0.612 0.250
Cu 0.000 0.221 0.750
Cu 0.000 0.446 0.250
Cu 0.000 0.554 0.750
Cu 0.000 0.779 0.250
Cu 0.500 0.054 0.750
Cu 0.500 0.279 0.250
Cu 0.500 0.721 0.750
Cu 0.500 0.946 0.250

---

(2)
Entry from the Alexandria database: CoCu4 after structural relaxation (GGA-PBE).

Calculated values
Its total energy is -4.23 eV per atom. For the energy above the most stable polymorph in this dataset, the calculation gives 0 meV per atom. The space-group type is I4/mmm, No. 139. For the size of the total moment, the calculation gives 1.89 μB per formula unit.

abc: 3.303 3.303 12.076
angles: 90.00 90.00 90.00
Fractional positions:
Co 0.000 0.000 0.000
Co 0.500 0.500 0.500
Cu 0.000 0.000 0.403
Cu 0.000 0.000 0.597
Cu 0.000 0.500 0.250
Cu 0.000 0.500 0.750
Cu 0.500 0.000 0.250
Cu 0.500 0.000 0.750
Cu 0.500 0.500 0.097
Cu 0.500 0.500 0.903

---

(3)
Entry from the Alexandria database: Co5Cu3 after structural relaxation (GGA-PBE).

Calculated values
Its total energy is -5.71 eV per atom. For the energy above the most stable polymorph in this dataset, the calculation gives 0 meV per atom. The space-group type is C2/m, No. 12. For the size of the total moment, the calculation gives 8.34 μB per formula unit.

abc: 6.792 6.792 6.736
angles: 95.40 95.40 141.25
Fractional positions:
Co 0.076 0.754 0.814
Co 0.246 0.924 0.186
Co 0.251 0.251 0.003
Co 0.295 0.483 0.672
Co 0.483 0.295 0.672
Co 0.517 0.705 0.328
Co 0.705 0.517 0.328
Co 0.749 0.749 0.997
Co 0.754 0.076 0.814
Co 0.924 0.246 0.186
Cu 0.125 0.125 0.359
Cu 0.236 0.764 0.500
Cu 0.322 0.678 0.000
Cu 0.678 0.322 0.000
Cu 0.764 0.236 0.500
Cu 0.875 0.875 0.641

---

(4)
Entry from the Alexandria database: CoCu after structural relaxation (GGA-PBE).

Calculated values
Its total energy is -5.26 eV per atom. The space-group type is Fddd, No. 70. For the size of the total moment, the calculation gives 1.64 μB per formula unit.

abc: 7.677 7.085 4.123
angles: 81.87 66.01 32.12
Fractional positions:
Co 0.041 0.041 0.209
Co 0.209 0.209 0.041
Co 0.791 0.791 0.959
Co 0.959 0.959 0.791
Cu 0.210 0.540 0.210
Cu 0.460 0.790 0.460
Cu 0.540 0.210 0.540
Cu 0.790 0.460 0.790

---

(5)
Entry from the Alexandria database: CoCu after structural relaxation (GGA-PBE).

Calculated values
Its total energy is -4.89 eV per atom. The space-group type is P6_3/mmc, No. 194. For the size of the total moment, the calculation gives 1.75 μB per formula unit.

abc: 3.721 3.721 4.572
angles: 90.00 90.00 120.00
Fractional positions:
Co 0.000 0.000 0.000
Co 0.000 0.000 0.500
Cu 0.333 0.667 0.250
Cu 0.667 0.333 0.750

---

(6)
Entry from the Alexandria database: CoCu after structural relaxation (GGA-PBE).

Calculated values
Its total energy is -4.41 eV per atom. The space-group type is P6_3/mmc, No. 194. For the size of the total moment, the calculation gives 1.87 μB per formula unit.

abc: 4.003 4.003 4.728
angles: 90.00 90.00 120.00
Fractional positions:
Co 0.333 0.667 0.250
Co 0.667 0.333 0.750
Cu 0.333 0.667 0.750
Cu 0.667 0.333 0.250

---

(7)
Entry from the Alexandria database: Co3Cu5 after structural relaxation (GGA-PBE).

Calculated values
Its total energy is -4.88 eV per atom. The space-group type is P6_3/mcm, No. 193. For the size of the total moment, the calculation gives 4.50 μB per formula unit.

abc: 7.033 7.033 4.525
angles: 90.00 90.00 120.00
Fractional positions:
Co 0.000 0.414 0.250
Co 0.000 0.586 0.750
Co 0.414 0.000 0.250
Co 0.414 0.414 0.750
Co 0.586 0.000 0.750
Co 0.586 0.586 0.250
Cu 0.000 0.218 0.750
Cu 0.000 0.782 0.250
Cu 0.218 0.000 0.750
Cu 0.218 0.218 0.250
Cu 0.333 0.667 0.000
Cu 0.333 0.667 0.500
Cu 0.667 0.333 0.000
Cu 0.667 0.333 0.500
Cu 0.782 0.000 0.250
Cu 0.782 0.782 0.750

---

(8)
Entry from the Alexandria database: CoCu after structural relaxation (GGA-PBE).

Calculated values
Its total energy is -4.90 eV per atom. The space-group type is P4_2/mnm, No. 136. For the size of the total moment, the calculation gives 1.80 μB per formula unit.

abc: 4.686 4.686 4.800
angles: 90.00 90.00 90.00
Fractional positions:
Co 0.173 0.173 0.000
Co 0.327 0.673 0.500
Co 0.673 0.327 0.500
Co 0.827 0.827 0.000
Cu 0.180 0.180 0.500
Cu 0.320 0.680 0.000
Cu 0.680 0.320 0.000
Cu 0.820 0.820 0.500

---

(9)
Entry from the Alexandria database: CoCu2 after structural relaxation (GGA-PBE).

Calculated values
Its total energy is -4.96 eV per atom. The space-group type is Cmcm, No. 63. For the size of the total moment, the calculation gives 1.65 μB per formula unit.

abc: 3.727 10.588 3.544
angles: 90.00 90.00 90.00
Fractional positions:
Co 0.000 0.075 0.250
Co 0.000 0.925 0.750
Co 0.500 0.425 0.750
Co 0.500 0.575 0.250
Cu 0.000 0.250 0.750
Cu 0.000 0.416 0.250
Cu 0.000 0.584 0.750
Cu 0.000 0.750 0.250
Cu 0.500 0.084 0.750
Cu 0.500 0.250 0.250
Cu 0.500 0.750 0.750
Cu 0.500 0.916 0.250

---

(10)
Entry from the Alexandria database: CoCu after structural relaxation (GGA-PBE).

Calculated values
Its total energy is -4.11 eV per atom. The space-group type is F-43m, No. 216. For the size of the total moment, the calculation gives 2.01 μB per formula unit.

abc: 5.228 5.228 5.228
angles: 90.00 90.00 90.00
Fractional positions:
Co 0.000 0.000 0.000
Co 0.000 0.500 0.500
Co 0.500 0.000 0.500
Co 0.500 0.500 0.000
Cu 0.250 0.250 0.250
Cu 0.250 0.750 0.750
Cu 0.750 0.250 0.750
Cu 0.750 0.750 0.250

---

(11)
Entry from the Alexandria database: Co2Cu after structural relaxation (GGA-PBE).

Calculated values
Its total energy is -5.14 eV per atom. The space-group type is Pa-3, No. 205. For the size of the total moment, the calculation gives 3.67 μB per formula unit.

abc: 5.506 5.506 5.506
angles: 90.00 90.00 90.00
Fractional positions:
Co 0.114 0.114 0.114
Co 0.114 0.386 0.614
Co 0.386 0.614 0.114
Co 0.386 0.886 0.614
Co 0.614 0.114 0.386
Co 0.614 0.386 0.886
Co 0.886 0.614 0.386
Co 0.886 0.886 0.886
Cu 0.000 0.000 0.500
Cu 0.000 0.500 0.000
Cu 0.500 0.000 0.000
Cu 0.500 0.500 0.500

---

(12)
Entry from the Alexandria database: CoCu after structural relaxation (GGA-PBE).

Calculated values
Its total energy is -5.45 eV per atom. The space-group type is I4_1/amd, No. 141. For the size of the total moment, the calculation gives 1.59 μB per formula unit.

abc: 3.617 3.617 6.969
angles: 90.00 90.00 90.00
Fractional positions:
Co 0.000 0.250 0.375
Co 0.000 0.750 0.625
Co 0.500 0.250 0.125
Co 0.500 0.750 0.875
Cu 0.000 0.250 0.875
Cu 0.000 0.750 0.125
Cu 0.500 0.250 0.625
Cu 0.500 0.750 0.375

---

Repeat the sixth record exactly.
Entry from the Alexandria database: CoCu after structural relaxation (GGA-PBE).

Calculated values
Its total energy is -4.41 eV per atom. The space-group type is P6_3/mmc, No. 194. For the size of the total moment, the calculation gives 1.87 μB per formula unit.

abc: 4.003 4.003 4.728
angles: 90.00 90.00 120.00
Fractional positions:
Co 0.333 0.667 0.250
Co 0.667 0.333 0.750
Cu 0.333 0.667 0.750
Cu 0.667 0.333 0.250